# 1
{"formula": "SrCaAlCu", "functional": "PBE-GGA", "state": "relaxed", "magmom_total_mub_per_cell": 0.0, "polymorph_energy_mev_per_atom": 0.0, "e_tot_ev_per_atom": -3.03, "dos_ef_per_ev_atom": 0.8930, "lattice_angstrom": [[-1.6975, -0.5160, 3.9743], [-2.4505, -0.7317, -3.5217], [4.1620, -6.7674, -1.4655]], "species": ["Ca", "Cu", "Al", "Sr"], "frac_coords": [[0.0026, 0.8649, 0.8676], [0.4993, 0.6143, 0.1137], [0.8339, 0.2817, 0.1156], [0.3562, 0.0434, 0.3996]]}



# 2
{"formula": "CaYAlCu", "functional": "PBE-GGA", "state": "relaxed", "magmom_total_mub_per_cell": 0.0, "e_tot_ev_per_atom": -4.27, "dos_ef_per_ev_atom": 0.8229, "lattice_angstrom": [[5.0914, 0.0000, 0.0000], [2.5457, 4.4093, 0.0000], [2.5457, 1.4698, 4.1571]], "species": ["Ca", "Y", "Cu", "Al"], "frac_coords": [[0.2500, 0.2500, 0.2500], [0.7500, 0.7500, 0.7500], [0.0000, 0.0000, 0.0000], [0.5000, 0.5000, 0.5000]]}



Formation energy from the elements
In order: -0.15 -0.20
Unit: eV/atom